# 1
Below is Nd3Cd2In4 after structural relaxation, with properties calculated at the GGA-PBE level.

Summary:
- Energy relative to the elements: -4.07 eV/f.u.
- Total energy: -62.31 eV for the cell shown
- Mass density: 7.663 g/cm³

```
data_Nd3Cd2In4
_space_group_name_H-M_alt 'C 1 2/m 1'
_space_group_IT_number 12
_cell_length_a 11.4542
_cell_length_b 4.9724
_cell_length_c 9.4201
_cell_angle_alpha 90.00
_cell_angle_beta 115.56
_cell_angle_gamma 90.00
loop_
_space_group_symop_operation_xyz
'x,y,z'
'-x,-y,-z'
'-x,y,-z'
'x,-y,z'
'x+1/2,y+1/2,z'
'-x+1/2,-y+1/2,-z'
'-x+1/2,y+1/2,-z'
'x+1/2,-y+1/2,z'
loop_
_atom_site_label
_atom_site_type_symbol
_atom_site_fract_x
_atom_site_fract_y
_atom_site_fract_z
Nd1 Nd 0.0000 0.0000 0.0000
Nd2 Nd 0.1659 0.5000 0.6661
Cd1 Cd 0.1141 0.5000 0.2823
In1 In 0.0530 0.0000 0.3842
In2 In 0.2244 0.5000 0.0619
```

***

# 2
Below is CsNa2Hg2F7 after structural relaxation, with properties calculated at the GGA-PBE level.

Summary:
- Raw formation energy: -2.098 eV per atom
- Total energy: -84.73 eV for the cell shown
- Mass density: 5.577 g/cm³

```
data_CsNa2Hg2F7
_space_group_name_H-M_alt 'I m m 2'
_space_group_IT_number 44
_cell_length_a 4.6854
_cell_length_b 19.3374
_cell_length_c 4.6868
_cell_angle_alpha 90.00
_cell_angle_beta 90.00
_cell_angle_gamma 90.00
loop_
_space_group_symop_operation_xyz
'x,y,z'
'-x,-y,z'
'-x,y,z'
'x,-y,z'
'x+1/2,y+1/2,z+1/2'
'-x+1/2,-y+1/2,z+1/2'
'-x+1/2,y+1/2,z+1/2'
'x+1/2,-y+1/2,z+1/2'
loop_
_atom_site_label
_atom_site_type_symbol
_atom_site_fract_x
_atom_site_fract_y
_atom_site_fract_z
Cs1 Cs 0.0000 0.0000 0.0000
Na1 Na 0.0000 0.2501 0.4992
Hg1 Hg 0.0000 0.3812 0.9999
F1 F 0.0000 0.1244 0.4985
F2 F 0.0000 0.2612 0.9991
F3 F 0.0000 0.3758 0.5000
F4 F 0.0000 0.5000 0.0034
```

***

# 3
Below is CsNdOsO6 after structural relaxation, with properties calculated at the GGA-PBE level.

Summary:
- Raw formation energy: -1.740 eV per atom
- Total energy: -62.26 eV for the cell shown
- Mass density: 4.933 g/cm³

```
data_CsNdOsO6
_space_group_name_H-M_alt 'P 3 1 2'
_space_group_IT_number 149
_cell_length_a 5.8249
_cell_length_b 5.8249
_cell_length_c 6.4533
_cell_angle_alpha 90.00
_cell_angle_beta 90.00
_cell_angle_gamma 120.00
loop_
_space_group_symop_operation_xyz
'x,y,z'
'-y,x-y,z'
'-x+y,-x,z'
'-y,-x,-z'
'-x+y,y,-z'
'x,x-y,-z'
loop_
_atom_site_label
_atom_site_type_symbol
_atom_site_fract_x
_atom_site_fract_y
_atom_site_fract_z
Cs1 Cs 0.0000 0.0000 0.0000
Nd1 Nd 0.3333 0.6667 0.5000
Os1 Os 0.6667 0.3333 0.5000
O1 O 0.4178 0.0590 0.6694
```

***

# 4
Below is Y2ErSc after structural relaxation, with properties calculated at the GGA-PBE level.

Summary:
- Energy relative to the elements: 0.20 eV/f.u.
- Total energy: -23.63 eV for the cell shown
- Energy above the most stable polymorph in this dataset: 2.66 kJ/mol of atoms
- Mass density: 5.431 g/cm³

```
data_Y2ErSc
_space_group_name_H-M_alt 'P 4/m m m'
_space_group_IT_number 123
_space_group_name_Hall '-P 4 2'
_cell_length_a 4.9301
_cell_length_b 4.9301
_cell_length_c 4.9066
_cell_angle_alpha 90.00
_cell_angle_beta 90.00
_cell_angle_gamma 90.00
loop_
_atom_site_label
_atom_site_type_symbol
_atom_site_fract_x
_atom_site_fract_y
_atom_site_fract_z
Y1 Y 0.0000 0.5000 0.0000
Er1 Er 0.0000 0.0000 0.5000
Sc1 Sc 0.5000 0.5000 0.5000
```

***

# 5
Below is Li2Ca6Al after structural relaxation, with properties calculated at the GGA-PBE level.

Summary:
- Energy relative to the elements: -0.43 eV/f.u.
- Total energy: -80.02 eV for the cell shown
- Mass density: 1.571 g/cm³

```
data_Li2Ca6Al
_space_group_name_H-M_alt 'F m m m'
_space_group_IT_number 69
_space_group_name_Hall '-F 2 2'
_cell_length_a 5.4365
_cell_length_b 13.3634
_cell_length_c 16.3754
_cell_angle_alpha 90.00
_cell_angle_beta 90.00
_cell_angle_gamma 90.00
loop_
_atom_site_label
_atom_site_type_symbol
_atom_site_fract_x
_atom_site_fract_y
_atom_site_fract_z
Li1 Li 0.0000 0.0000 0.1642
Ca1 Ca 0.0000 0.1401 0.0000
Ca2 Ca 0.0000 0.1442 0.3373
Al1 Al 0.0000 0.0000 0.5000
```

***

# 6
Below is RbTi2Mn after structural relaxation, with properties calculated at the GGA-PBE level.

Summary:
- Energy relative to the elements: 4.23 eV/f.u.
- Total energy: -86.80 eV for the cell shown
- Energy above the most stable polymorph in this dataset: 0.00 kJ/mol of atoms
- Mass density: 3.184 g/cm³

```
data_RbTi2Mn
_space_group_name_H-M_alt 'I 41/a m d'
_space_group_IT_number 141
_cell_length_a 7.0309
_cell_length_b 7.0309
_cell_length_c 9.9660
_cell_angle_alpha 90.00
_cell_angle_beta 90.00
_cell_angle_gamma 90.00
loop_
_space_group_symop_operation_xyz
'x,y,z'
'-x,-y,-z'
'-y+1/4,x+3/4,z+1/4'
'y+1/4,-x+3/4,-z+1/4'
'-x+1/2,-y,z+1/2'
'x+1/2,y,-z+1/2'
'y+1/4,-x+1/4,z+3/4'
'-y+1/4,x+1/4,-z+3/4'
'x,-y,-z'
'-x,y,z'
'-y+1/4,-x+1/4,-z+3/4'
'y+1/4,x+1/4,z+3/4'
'-x+1/2,y,-z+1/2'
'x+1/2,-y,z+1/2'
'y+1/4,x+3/4,-z+1/4'
'-y+1/4,-x+3/4,z+1/4'
'x+1/2,y+1/2,z+1/2'
'-x+1/2,-y+1/2,-z+1/2'
'-y+3/4,x+1/4,z+3/4'
'y+3/4,-x+1/4,-z+3/4'
'-x,-y+1/2,z'
'x,y+1/2,-z'
'y+3/4,-x+3/4,z+1/4'
'-y+3/4,x+3/4,-z+1/4'
'x+1/2,-y+1/2,-z+1/2'
'-x+1/2,y+1/2,z+1/2'
'-y+3/4,-x+3/4,-z+1/4'
'y+3/4,x+3/4,z+1/4'
'-x,y+1/2,-z'
'x,-y+1/2,z'
'y+3/4,x+1/4,-z+3/4'
'-y+3/4,-x+1/4,z+3/4'
loop_
_atom_site_label
_atom_site_type_symbol
_atom_site_fract_x
_atom_site_fract_y
_atom_site_fract_z
Rb1 Rb 0.0000 0.2500 0.3750
Ti1 Ti 0.0000 0.0000 0.0000
Mn1 Mn 0.0000 0.2500 0.8750
```

***

# 7
Below is BaYSi3 after structural relaxation, with properties calculated at the GGA-PBE level.

Summary:
- Raw formation energy: 1.279 eV per atom
- Total energy: -18.26 eV for the cell shown
- Energy above the most stable polymorph in this dataset: 99.82 kJ/mol of atoms
- Mass density: 3.295 g/cm³

```
data_BaYSi3
_space_group_name_H-M_alt 'P m -3 m'
_space_group_IT_number 221
_space_group_name_Hall '-P 4 2 3'
_cell_length_a 5.3888
_cell_length_b 5.3888
_cell_length_c 5.3888
_cell_angle_alpha 90.00
_cell_angle_beta 90.00
_cell_angle_gamma 90.00
loop_
_atom_site_label
_atom_site_type_symbol
_atom_site_fract_x
_atom_site_fract_y
_atom_site_fract_z
Ba1 Ba 0.0000 0.0000 0.0000
Y1 Y 0.5000 0.5000 0.5000
Si1 Si 0.0000 0.0000 0.5000
```

***

# 8
Below is PrHo2Hg3 after structural relaxation, with properties calculated at the GGA-PBE level.

Summary:
- Energy relative to the elements: -2.85 eV/f.u.
- Total energy: -17.69 eV for the cell shown
- Mass density: 11.172 g/cm³

```
data_PrHo2Hg3
_space_group_name_H-M_alt 'P 4/m m m'
_space_group_IT_number 123
_space_group_name_Hall '-P 4 2'
_cell_length_a 3.7492
_cell_length_b 3.7492
_cell_length_c 11.3408
_cell_angle_alpha 90.00
_cell_angle_beta 90.00
_cell_angle_gamma 90.00
loop_
_atom_site_label
_atom_site_type_symbol
_atom_site_fract_x
_atom_site_fract_y
_atom_site_fract_z
Pr1 Pr 0.0000 0.0000 0.0000
Ho1 Ho 0.0000 0.0000 0.3380
Hg1 Hg 0.5000 0.5000 0.1838
Hg2 Hg 0.5000 0.5000 0.5000
```